1.
YCdSe2 (GGA-PBE, relaxed); SG = R-3m (166); formation energy from raw total energies = -1.099 eV per atom
1.0
2.3899 0.0000 8.5657
-1.1949 2.0697 8.5657
-1.1949 -2.0697 8.5657
Se Y Cd
2 1 1
direct
0.1052 0.1052 0.1052
0.8948 0.8948 0.8948
0.5000 0.5000 0.5000
0.0000 0.0000 0.0000

2.
HoTmGe2Rh2 (GGA-PBE, relaxed); SG = P-3m1 (164); ΔH_f (0 K) = -0.92 eV per atom
1.0
4.3780 0.0000 0.0000
-2.1890 3.7914 0.0000
0.0000 0.0000 6.8437
Ge Tm Rh Ho
2 1 2 1
direct
0.6667 0.3333 0.7407
0.3333 0.6667 0.2593
0.0000 0.0000 0.5000
0.6667 0.3333 0.2699
0.3333 0.6667 0.7301
0.0000 0.0000 0.0000

3.
Er6MgPd2 (GGA-PBE, relaxed); SG = Immm (71); ΔH_f (0 K) = -0.45 eV per atom
1.0
7.9676 -0.1183 -2.9802
-4.2497 7.0101 -2.2754
-0.1574 0.1183 8.5053
Pd Mg Er
4 2 12
direct
0.5000 0.3683 0.8683
0.3390 0.0000 0.3390
0.5000 0.6317 0.1317
0.6610 0.0000 0.6610
0.0000 0.5000 0.5000
0.0000 0.0000 0.0000
0.1975 0.7621 0.9596
0.8025 0.7621 0.5646
0.2992 0.6219 0.3227
0.8961 0.7116 0.1845
0.1039 0.2884 0.8155
0.1975 0.2379 0.4354
0.7008 0.0234 0.3227
0.2992 0.9766 0.6773
0.8025 0.2379 0.0404
0.7008 0.3781 0.6773
0.4728 0.2884 0.1845
0.5272 0.7116 0.8155

4.
Th2Be4Rh5 (GGA-PBE, relaxed); SG = Fmmm (69); ΔH_f (0 K) = -0.70 eV per atom
1.0
5.1144 0.0000 2.4413
2.5572 4.7240 1.2207
-0.1591 0.0000 6.9110
Rh Be Th
5 4 2
direct
0.0000 0.5000 0.0000
0.5000 0.5000 0.0000
0.2500 0.5000 0.5000
0.7500 0.5000 0.5000
0.5000 0.0000 0.0000
0.4747 0.3111 0.7395
0.5253 0.6889 0.2605
0.2142 0.3111 0.2605
0.7858 0.6889 0.7395
0.1361 0.0000 0.7278
0.8639 0.0000 0.2722

5.
Pm3Al2Au4 (GGA-PBE, relaxed); SG = C2/m (12); ΔH_f (0 K) = -0.78 eV per atom
1.0
4.6122 0.0000 0.0000
-2.3061 5.5038 -0.4793
0.0000 -2.9199 8.2931
Al Au Pm
2 4 3
direct
0.6579 0.3159 0.3307
0.3421 0.6841 0.6693
0.9120 0.8240 0.5931
0.7155 0.4311 0.0722
0.2845 0.5689 0.9278
0.0880 0.1760 0.4069
0.0000 0.0000 0.0000
0.6400 0.2801 0.6893
0.3600 0.7199 0.3107

6.
RbTl2MoCl8 (GGA-PBE, relaxed); SG = P2/m (10); formation energy from raw total energies = -1.065 eV per atom
1.0
5.9993 -1.3574 0.0000
-1.4944 7.6145 -0.0048
-0.0002 0.0084 9.2775
Rb Cl Tl Mo
1 8 2 1
direct
0.0000 0.0000 0.5000
0.9611 0.2035 0.8190
0.4303 0.7149 0.5001
0.0392 0.7967 0.8191
0.5697 0.2851 0.4999
0.9608 0.2033 0.1809
0.4088 0.1777 0.0002
0.0389 0.7965 0.1810
0.5912 0.8223 0.9998
0.5002 0.4999 0.7384
0.4998 0.5001 0.2616
0.0000 0.0000 0.0000

no.,N(E_F) (states/eV/atom)
1,0.614
2,0.564
3,1.035
4,0.542
5,0.664
6,0.441